1.
# Rb2HNF6 (PBE-GGA, optimized geometry)
# crystal system: tetragonal
# uncorrected energy: -34.99 eV per formula unit
data_Rb2HNF6
_chemical_formula_sum 'Rb4 H2 N2 F12'
_symmetry_space_group_name_H-M 'I 4/m m m'
_symmetry_Int_Tables_number 139
_symmetry_space_group_name_Hall '-I 4 2'
_cell_length_a 5.254
_cell_length_b 5.254
_cell_length_c 9.582
_cell_angle_alpha 90.00
_cell_angle_beta 90.00
_cell_angle_gamma 90.00
loop_
_atom_site_label
_atom_site_fract_x
_atom_site_fract_y
_atom_site_fract_z
Rb1 0.000 0.500 0.250
H1 0.000 0.000 0.000
N1 0.000 0.000 0.500
F1 0.000 0.000 0.318
F2 0.236 0.236 0.000

2.
# Pm2ScTe2O2 (PBE-GGA, optimized geometry)
# formation energy (no corrections): -2260 meV per atom
# crystal system: tetragonal
data_Pm2ScTe2O2
_chemical_formula_sum 'Pm4 Sc2 Te4 O4'
_symmetry_space_group_name_H-M 'I 4/m m m'
_symmetry_Int_Tables_number 139
_symmetry_space_group_name_Hall '-I 4 2'
_cell_length_a 4.198
_cell_length_b 4.198
_cell_length_c 16.715
_cell_angle_alpha 90.00
_cell_angle_beta 90.00
_cell_angle_gamma 90.00
loop_
_atom_site_label
_atom_site_fract_x
_atom_site_fract_y
_atom_site_fract_z
Pm1 0.000 0.000 0.104
Sc1 0.000 0.000 0.500
Te1 0.000 0.000 0.320
O1 0.000 0.500 0.000

3.
# Pr3As2Cl (PBE-GGA, optimized geometry)
# formation energy (no corrections): -1313 meV per atom
# crystal system: orthorhombic
data_Pr3As2Cl
_chemical_formula_sum 'Pr12 As8 Cl4'
_symmetry_space_group_name_H-M 'C m c m'
_symmetry_Int_Tables_number 63
_symmetry_space_group_name_Hall '-C 2c 2'
_cell_length_a 4.334
_cell_length_b 14.119
_cell_length_c 10.964
_cell_angle_alpha 90.00
_cell_angle_beta 90.00
_cell_angle_gamma 90.00
loop_
_atom_site_label
_atom_site_fract_x
_atom_site_fract_y
_atom_site_fract_z
Pr1 0.000 0.099 0.250
Pr2 0.000 0.351 0.056
As1 0.000 0.000 0.000
As2 0.000 0.253 0.750
Cl1 0.000 0.472 0.250

4.
# TlGaNi2P (PBE-GGA, optimized geometry)
# formation enthalpy at 0 K: 0.66 eV/atom
# crystal system: tetragonal
data_TlGaNi2P
_chemical_formula_sum 'Tl1 Ga1 Ni2 P1'
_symmetry_space_group_name_H-M 'P 4/m m m'
_symmetry_Int_Tables_number 123
_symmetry_space_group_name_Hall '-P 4 2'
_cell_length_a 4.549
_cell_length_b 4.549
_cell_length_c 4.642
_cell_angle_alpha 90.00
_cell_angle_beta 90.00
_cell_angle_gamma 90.00
loop_
_atom_site_label
_atom_site_fract_x
_atom_site_fract_y
_atom_site_fract_z
Tl1 0.000 0.000 0.000
Ga1 0.500 0.500 0.500
Ni1 0.000 0.500 0.500
P1 0.500 0.500 0.000

5.
# PrZnCd3 (PBE-GGA, optimized geometry)
# formation enthalpy at 0 K: -0.24 eV/atom
# crystal system: tetragonal
data_PrZnCd3
_chemical_formula_sum 'Pr2 Zn2 Cd6'
_symmetry_space_group_name_H-M 'I 4 m m'
_symmetry_Int_Tables_number 107
_symmetry_space_group_name_Hall 'I 4 -2'
_cell_length_a 4.411
_cell_length_b 4.411
_cell_length_c 12.300
_cell_angle_alpha 90.00
_cell_angle_beta 90.00
_cell_angle_gamma 90.00
loop_
_atom_site_label
_atom_site_fract_x
_atom_site_fract_y
_atom_site_fract_z
Pr1 0.000 0.000 0.000
Zn1 0.000 0.000 0.599
Cd1 0.000 0.000 0.387
Cd2 0.000 0.500 0.233

6.
# Y2CrWAu (PBE-GGA, optimized geometry)
# formation enthalpy at 0 K: 1.49 eV/atom
# crystal system: tetragonal
data_Y2CrWAu
_chemical_formula_sum 'Y2 Cr1 W1 Au1'
_symmetry_space_group_name_H-M 'P 4/m m m'
_symmetry_Int_Tables_number 123
_symmetry_space_group_name_Hall '-P 4 2'
_cell_length_a 5.332
_cell_length_b 5.332
_cell_length_c 5.010
_cell_angle_alpha 90.00
_cell_angle_beta 90.00
_cell_angle_gamma 90.00
loop_
_atom_site_label
_atom_site_fract_x
_atom_site_fract_y
_atom_site_fract_z
Y1 0.000 0.500 0.000
Cr1 0.000 0.000 0.500
W1 0.500 0.500 0.000
Au1 0.500 0.500 0.500

7.
# Mg3AlTl2 (PBE-GGA, optimized geometry)
# formation enthalpy at 0 K: 0.02 eV/atom
# crystal system: monoclinic
data_Mg3AlTl2
_chemical_formula_sum 'Mg6 Al2 Tl4'
_symmetry_space_group_name_H-M 'P 1 2/m 1'
_symmetry_Int_Tables_number 10
_cell_length_a 4.772
_cell_length_b 8.110
_cell_length_c 7.462
_cell_angle_alpha 90.00
_cell_angle_beta 104.91
_cell_angle_gamma 90.00
loop_
_symmetry_equiv_pos_as_xyz
'x,y,z'
'-x,-y,-z'
'-x,y,-z'
'x,-y,z'
loop_
_atom_site_label
_atom_site_fract_x
_atom_site_fract_y
_atom_site_fract_z
Mg1 0.000 0.231 0.000
Mg2 0.329 0.236 0.662
Al1 0.172 0.000 0.351
Tl1 0.165 0.500 0.331
Tl2 0.500 0.000 0.000
Tl3 0.500 0.500 0.000

8.
# SrCr2Ir (PBE-GGA, optimized geometry)
# formation enthalpy at 0 K: 0.90 eV/atom
# crystal system: tetragonal
data_SrCr2Ir
_chemical_formula_sum 'Sr1 Cr2 Ir1'
_symmetry_space_group_name_H-M 'P 4/m m m'
_symmetry_Int_Tables_number 123
_symmetry_space_group_name_Hall '-P 4 2'
_cell_length_a 4.809
_cell_length_b 4.809
_cell_length_c 3.194
_cell_angle_alpha 90.00
_cell_angle_beta 90.00
_cell_angle_gamma 90.00
loop_
_atom_site_label
_atom_site_fract_x
_atom_site_fract_y
_atom_site_fract_z
Sr1 0.000 0.000 0.000
Cr1 0.000 0.500 0.500
Ir1 0.500 0.500 0.000

9.
# Li2CaGa2Ag2 (PBE-GGA, optimized geometry)
# formation enthalpy at 0 K: -0.32 eV/atom
# crystal system: monoclinic
data_Li2CaGa2Ag2
_chemical_formula_sum 'Li4 Ca2 Ga4 Ag4'
_symmetry_space_group_name_H-M 'C 1 2/m 1'
_symmetry_Int_Tables_number 12
_cell_length_a 7.837
_cell_length_b 4.571
_cell_length_c 7.951
_cell_angle_alpha 90.00
_cell_angle_beta 109.65
_cell_angle_gamma 90.00
loop_
_symmetry_equiv_pos_as_xyz
'x,y,z'
'-x,-y,-z'
'-x,y,-z'
'x,-y,z'
'x+1/2,y+1/2,z'
'-x+1/2,-y+1/2,-z'
'-x+1/2,y+1/2,-z'
'x+1/2,-y+1/2,z'
loop_
_atom_site_label
_atom_site_fract_x
_atom_site_fract_y
_atom_site_fract_z
Li1 0.139 0.000 0.420
Ca1 0.000 0.000 0.000
Ga1 0.063 0.500 0.688
Ag1 0.246 0.500 0.236

10.
# YHo3Hg7 (PBE-GGA, optimized geometry)
# formation enthalpy at 0 K: -0.21 eV/atom
# crystal system: orthorhombic
data_YHo3Hg7
_chemical_formula_sum 'Y4 Ho12 Hg28'
_symmetry_space_group_name_H-M 'C m c m'
_symmetry_Int_Tables_number 63
_symmetry_space_group_name_Hall '-C 2c 2'
_cell_length_a 3.594
_cell_length_b 31.467
_cell_length_c 12.524
_cell_angle_alpha 90.00
_cell_angle_beta 90.00
_cell_angle_gamma 90.00
loop_
_atom_site_label
_atom_site_fract_x
_atom_site_fract_y
_atom_site_fract_z
Y1 0.000 0.073 0.250
Ho1 0.000 0.068 0.547
Ho2 0.000 0.188 0.250
Hg1 0.000 0.270 0.578
Hg2 0.000 0.371 0.595
Hg3 0.000 0.420 0.250
Hg4 0.000 0.489 0.618

11.
# Nd2CdH2 (PBE-GGA, optimized geometry)
# crystal system: tetragonal
# uncorrected energy: -19.75 eV per formula unit
data_Nd2CdH2
_chemical_formula_sum 'Nd4 Cd2 H4'
_symmetry_space_group_name_H-M 'I 4/m m m'
_symmetry_Int_Tables_number 139
_symmetry_space_group_name_Hall '-I 4 2'
_cell_length_a 3.961
_cell_length_b 3.961
_cell_length_c 12.549
_cell_angle_alpha 90.00
_cell_angle_beta 90.00
_cell_angle_gamma 90.00
loop_
_atom_site_label
_atom_site_fract_x
_atom_site_fract_y
_atom_site_fract_z
Nd1 0.000 0.000 0.150
Cd1 0.000 0.000 0.500
H1 0.000 0.500 0.250

12.
# La2Tb2S7 (PBE-GGA, optimized geometry)
# formation energy (no corrections): -1809 meV per atom
# crystal system: orthorhombic
data_La2Tb2S7
_chemical_formula_sum 'La4 Tb4 S14'
_symmetry_space_group_name_H-M 'I m m 2'
_symmetry_Int_Tables_number 44
_cell_length_a 4.033
_cell_length_b 14.272
_cell_length_c 8.808
_cell_angle_alpha 90.00
_cell_angle_beta 90.00
_cell_angle_gamma 90.00
loop_
_symmetry_equiv_pos_as_xyz
'x,y,z'
'-x,-y,z'
'-x,y,z'
'x,-y,z'
'x+1/2,y+1/2,z+1/2'
'-x+1/2,-y+1/2,z+1/2'
'-x+1/2,y+1/2,z+1/2'
'x+1/2,-y+1/2,z+1/2'
loop_
_atom_site_label
_atom_site_fract_x
_atom_site_fract_y
_atom_site_fract_z
La1 0.000 0.243 0.000
Tb1 0.000 0.000 0.244
Tb2 0.000 0.500 0.191
S1 0.000 0.000 0.914
S2 0.000 0.106 0.518
S3 0.000 0.322 0.303
S4 0.000 0.367 0.691

13.
# AsF5 (PBE-GGA, optimized geometry)
# formation energy (no corrections): -2033 meV per atom
# crystal system: hexagonal
data_AsF5
_chemical_formula_sum 'As2 F10'
_symmetry_space_group_name_H-M 'P 63/m m c'
_symmetry_Int_Tables_number 194
_symmetry_space_group_name_Hall '-P 6c 2c'
_cell_length_a 5.9024
_cell_length_b 5.9024
_cell_length_c 6.5666
_cell_angle_alpha 90.00
_cell_angle_beta 90.00
_cell_angle_gamma 120.00
loop_
_atom_site_label
_atom_site_fract_x
_atom_site_fract_y
_atom_site_fract_z
As1 0.3333 0.6667 0.2500
F1 0.1655 0.3310 0.2500
F2 0.3333 0.6667 0.5166

14.
# ZrCdRh (PBE-GGA, optimized geometry)
# formation enthalpy at 0 K: -0.25 eV/atom
# crystal system: cubic
data_ZrCdRh
_chemical_formula_sum 'Zr4 Cd4 Rh4'
_symmetry_space_group_name_H-M 'F -4 3 m'
_symmetry_Int_Tables_number 216
_symmetry_space_group_name_Hall 'F -4 2 3'
_cell_length_a 6.383
_cell_length_b 6.383
_cell_length_c 6.383
_cell_angle_alpha 90.00
_cell_angle_beta 90.00
_cell_angle_gamma 90.00
loop_
_atom_site_label
_atom_site_fract_x
_atom_site_fract_y
_atom_site_fract_z
Zr1 0.000 0.000 0.000
Cd1 0.000 0.000 0.500
Rh1 0.250 0.250 0.250

15.
# Tb2PrNd6Y3 (PBE-GGA, optimized geometry)
# formation enthalpy at 0 K: 0.01 eV/atom
# crystal system: monoclinic
data_Tb2PrNd6Y3
_chemical_formula_sum 'Tb4 Pr2 Nd12 Y6'
_symmetry_space_group_name_H-M 'C 1 2/m 1'
_symmetry_Int_Tables_number 12
_cell_length_a 6.315
_cell_length_b 10.938
_cell_length_c 11.985
_cell_angle_alpha 90.00
_cell_angle_beta 100.09
_cell_angle_gamma 90.00
loop_
_symmetry_equiv_pos_as_xyz
'x,y,z'
'-x,-y,-z'
'-x,y,-z'
'x,-y,z'
'x+1/2,y+1/2,z'
'-x+1/2,-y+1/2,-z'
'-x+1/2,y+1/2,-z'
'x+1/2,-y+1/2,z'
loop_
_atom_site_label
_atom_site_fract_x
_atom_site_fract_y
_atom_site_fract_z
Tb1 0.000 0.167 0.000
Pr1 0.000 0.500 0.000
Nd1 0.249 0.167 0.749
Nd2 0.250 0.000 0.251
Y1 0.000 0.000 0.500
Y2 0.000 0.333 0.500

16.
# Sc2SnBi2 (PBE-GGA, optimized geometry)
# formation enthalpy at 0 K: -0.42 eV/atom
# crystal system: tetragonal
data_Sc2SnBi2
_chemical_formula_sum 'Sc4 Sn2 Bi4'
_symmetry_space_group_name_H-M 'P 4/m b m'
_symmetry_Int_Tables_number 127
_symmetry_space_group_name_Hall '-P 4 2ab'
_cell_length_a 7.892
_cell_length_b 7.892
_cell_length_c 4.215
_cell_angle_alpha 90.00
_cell_angle_beta 90.00
_cell_angle_gamma 90.00
loop_
_atom_site_label
_atom_site_fract_x
_atom_site_fract_y
_atom_site_fract_z
Sc1 0.151 0.349 0.000
Sn1 0.000 0.000 0.000
Bi1 0.159 0.659 0.500

17.
# Lu4Ni2H (PBE-GGA, optimized geometry)
# crystal system: tetragonal
# uncorrected energy: -35.06 eV per formula unit
data_Lu4Ni2H
_chemical_formula_sum 'Lu8 Ni4 H2'
_symmetry_space_group_name_H-M 'I 4/m m m'
_symmetry_Int_Tables_number 139
_symmetry_space_group_name_Hall '-I 4 2'
_cell_length_a 4.537
_cell_length_b 4.537
_cell_length_c 13.268
_cell_angle_alpha 90.00
_cell_angle_beta 90.00
_cell_angle_gamma 90.00
loop_
_atom_site_label
_atom_site_fract_x
_atom_site_fract_y
_atom_site_fract_z
Lu1 0.000 0.000 0.191
Lu2 0.000 0.500 0.000
Ni1 0.000 0.000 0.384
H1 0.000 0.000 0.000

18.
# Pm3Nd4ErSe8 (PBE-GGA, optimized geometry)
# formation energy (no corrections): -1813 meV per atom
# crystal system: trigonal
data_Pm3Nd4ErSe8
_chemical_formula_sum 'Pm9 Nd12 Er3 Se24'
_symmetry_space_group_name_H-M 'R -3 m'
_symmetry_Int_Tables_number 166
_symmetry_space_group_name_Hall '-R 3 2"'
_cell_length_a 8.3811
_cell_length_b 8.3811
_cell_length_c 20.6164
_cell_angle_alpha 90.00
_cell_angle_beta 90.00
_cell_angle_gamma 120.00
loop_
_atom_site_label
_atom_site_fract_x
_atom_site_fract_y
_atom_site_fract_z
Pm1 0.0000 0.5000 0.0000
Nd1 0.0000 0.0000 0.5000
Nd2 0.0000 0.5000 0.5000
Er1 0.0000 0.0000 0.0000
Se1 0.0000 0.0000 0.2510
Se2 0.0078 0.5039 0.7470

19.
# TaCdGeO5 (PBE-GGA, optimized geometry)
# formation energy (no corrections): -1879 meV per atom
# crystal system: monoclinic
data_TaCdGeO5
_chemical_formula_sum 'Ta4 Cd4 Ge4 O20'
_symmetry_space_group_name_H-M 'C 1 2/c 1'
_symmetry_Int_Tables_number 15
_cell_length_a 7.106
_cell_length_b 9.170
_cell_length_c 7.569
_cell_angle_alpha 90.00
_cell_angle_beta 115.51
_cell_angle_gamma 90.00
loop_
_symmetry_equiv_pos_as_xyz
'x,y,z'
'-x,-y,-z'
'-x,y,-z+1/2'
'x,-y,z+1/2'
'x+1/2,y+1/2,z'
'-x+1/2,-y+1/2,-z'
'-x+1/2,y+1/2,-z+1/2'
'x+1/2,-y+1/2,z+1/2'
loop_
_atom_site_label
_atom_site_fract_x
_atom_site_fract_y
_atom_site_fract_z
Ta1 0.000 0.000 0.000
Cd1 0.000 0.325 0.250
Ge1 0.000 0.318 0.750
O1 0.000 0.061 0.250
O2 0.091 0.207 0.606
O3 0.198 0.441 0.902

20.
# TiGaSbTe2 (PBE-GGA, optimized geometry)
# formation energy (no corrections): -10 meV per atom
# crystal system: tetragonal
data_TiGaSbTe2
_chemical_formula_sum 'Ti1 Ga1 Sb1 Te2'
_symmetry_space_group_name_H-M 'P 4/m m m'
_symmetry_Int_Tables_number 123
_symmetry_space_group_name_Hall '-P 4 2'
_cell_length_a 5.367
_cell_length_b 5.367
_cell_length_c 5.335
_cell_angle_alpha 90.00
_cell_angle_beta 90.00
_cell_angle_gamma 90.00
loop_
_atom_site_label
_atom_site_fract_x
_atom_site_fract_y
_atom_site_fract_z
Ti1 0.000 0.000 0.000
Ga1 0.500 0.500 0.500
Sb1 0.000 0.000 0.500
Te1 0.000 0.500 0.000